Record 1
VASP calculation (GGA-PBEsol) on a geometry-optimized BeAgHg2 structure.

**Space group**: P4/mmm, No. 123
**DOS(E_F)**: 0.9 states/eV per cell
**ΔE_f**: 0.902 eV/f.u.

Cell lengths 3.0758, 3.0758, 7.0464 Å; angles 90.00, 90.00, 90.00 degrees
With the nearest neighbours (Å) after each atom.
Element x y z (fractional)
Hg (0.0000, 0.0000, 0.2815)  4 Be 2.66, 4 Ag 2.94
Ag (0.5000, 0.5000, 0.0000)  8 Hg 2.94, 4 Ag 3.08
Hg (0.0000, 0.0000, 0.7185)  4 Be 2.66, 4 Ag 2.94
Be (0.5000, 0.5000, 0.5000)  8 Hg 2.66



Record 2
VASP calculation (GGA-PBEsol) on a geometry-optimized BeAg2I2 structure.

**Uncorrected formation energy**: 0.5407 eV/atom
**Space group**: I4/mmm, No. 139
**DOS(E_F)**: 0.4 states/eV per cell

Cell lengths 4.0861, 4.0861, 8.3743 Å; angles 104.12, 104.12, 90.00 degrees
With the nearest neighbours (Å) after each atom.
Element x y z (fractional)
Be (0.0000, 0.0000, 0.0000)  8 I 3.45
I (0.6196, 0.6196, 0.2391)  4 Ag 2.89
I (0.3804, 0.3804, 0.7609)  4 Ag 2.89
Ag (0.7500, 0.2500, 0.5000)  4 Ag 2.89, 4 I 2.89
Ag (0.2500, 0.7500, 0.5000)  4 Ag 2.89, 4 I 2.89



Record 3
VASP calculation (GGA-PBEsol) on a geometry-optimized BeAgI2N structure.

**Uncorrected formation energy**: 0.3726 eV/atom
**Space group**: P4/mmm, No. 123
**DOS(E_F)**: 2.0 states/eV per cell

Cell lengths 3.0773, 5.8623, 5.8623 Å; angles 90.00, 90.00, 90.00 degrees
With the nearest neighbours (Å) after each atom.
Element x y z (fractional)
N (0.5000, 0.0000, 0.0000)  2 Be 1.54
I (0.0000, 0.0000, 0.5000)  2 Be 2.93, 2 I 3.08
Ag (0.5000, 0.5000, 0.5000)  2 Ag 3.08, 8 I 3.31
Be (0.0000, 0.0000, 0.0000)  2 N 1.54
I (0.0000, 0.5000, 0.0000)  2 Be 2.93, 2 I 3.08



Record 4
VASP calculation (GGA-PBEsol) on a geometry-optimized BeAg2SI structure.

**Uncorrected formation energy**: 0.2364 eV/atom
**Space group**: P4/mmm, No. 123
**DOS(E_F)**: 1.2 states/eV per cell

Cell lengths 3.7903, 5.1124, 5.1124 Å; angles 90.00, 90.00, 90.00 degrees
With the nearest neighbours (Å) after each atom.
Element x y z (fractional)
Ag (0.0000, 0.0000, 0.5000)  2 Be 2.56
S (0.5000, 0.0000, 0.0000)  2 Be 1.90
Ag (0.0000, 0.5000, 0.0000)  2 Be 2.56
Be (0.0000, 0.0000, 0.0000)  2 S 1.90
I (0.5000, 0.5000, 0.5000)  8 Ag 3.18



Record 5
VASP calculation (GGA-PBEsol) on a geometry-optimized BeAgSbI2 structure.

**Uncorrected formation energy**: 0.5243 eV/atom
**Space group**: P4/mmm, No. 123
**DOS(E_F)**: 3.6 states/eV per cell

Cell lengths 4.6654, 5.1267, 5.1267 Å; angles 90.00, 90.00, 90.00 degrees
With the nearest neighbours (Å) after each atom.
Element x y z (fractional)
Sb (0.5000, 0.5000, 0.5000)  8 I 3.47, 4 Ag 3.63
Be (0.0000, 0.0000, 0.0000)  2 Ag 2.33, 4 I 2.56
I (0.0000, 0.0000, 0.5000)  2 Be 2.56
Ag (0.5000, 0.0000, 0.0000)  2 Be 2.33
I (0.0000, 0.5000, 0.0000)  2 Be 2.56



Record 6
VASP calculation (GGA-PBEsol) on a geometry-optimized BeAgSbI2 structure.

**Uncorrected formation energy**: 0.9394 eV/atom
**Space group**: P4/mmm, No. 123
**DOS(E_F)**: 4.0 states/eV per cell

Cell lengths 5.3742, 5.5195, 5.5195 Å; angles 90.00, 90.00, 90.00 degrees
With the nearest neighbours (Å) after each atom.
Element x y z (fractional)
I (0.0000, 0.5000, 0.0000)  2 Ag 2.76
I (0.0000, 0.0000, 0.5000)  2 Ag 2.76
Ag (0.0000, 0.0000, 0.0000)  2 Sb 2.69, 4 I 2.76
Be (0.5000, 0.5000, 0.5000)  8 I 3.85, 4 Sb 3.90
Sb (0.5000, 0.0000, 0.0000)  2 Ag 2.69



Record 7
VASP calculation (GGA-PBEsol) on a geometry-optimized Be2InAg structure.

**Space group**: C2/m, No. 12
**DOS(E_F)**: 1.0 states/eV per cell
**ΔE_f**: 1.168 eV/f.u.

Cell lengths 4.1173, 4.1173, 4.4644 Å; angles 74.67, 74.67, 58.92 degrees
With the nearest neighbours (Å) after each atom.
Element x y z (fractional)
Ag (0.5000, 0.5000, 0.0000)  6 Be 2.36-2.40
In (0.0000, 0.0000, 0.5000)  4 Be 2.52-2.64
Be (0.8114, 0.8114, 0.0763)  3 Ag 2.36-2.40, 3 Be 2.39-2.58, 2 In 2.52-2.64
Be (0.1886, 0.1886, 0.9237)  3 Ag 2.36-2.40, 3 Be 2.39-2.58, 2 In 2.52-2.64



Record 8
VASP calculation (GGA-PBEsol) on a geometry-optimized Be2InAg structure.

**Space group**: C2/m, No. 12
**DOS(E_F)**: 0.9 states/eV per cell
**ΔE_f**: 1.729 eV/f.u.

Cell lengths 3.0163, 4.8030, 5.0075 Å; angles 116.76, 104.75, 95.58 degrees
With the nearest neighbours (Å) after each atom.
Element x y z (fractional)
Ag (0.5000, 0.5000, 0.0000)  4 Be 2.50, 2 In 2.71
Be (0.0000, 0.0000, 0.5000)  2 In 2.50, 2 Ag 2.50, 2 Be 2.71
Be (0.5000, 0.5000, 0.5000)  2 In 2.50, 2 Ag 2.50, 2 Be 2.71
In (0.0000, 0.0000, 0.0000)  4 Be 2.50, 2 Ag 2.71